# 1
A geometry-optimized LaTmTe2 structure, computed with GGA-PBE.

a = 4.266 Å, b = 7.758 Å, c = 7.614 Å
α = 90.00°, β = 90.00°, γ = 90.00°
Positions (direct):
1 Te 0.000 0.250 0.691
2 Tm 0.000 0.000 0.000
3 Te 0.500 0.750 0.846
4 Tm 0.000 0.500 0.000
5 La 0.500 0.500 0.500
6 La 0.500 0.000 0.500
7 Te 0.500 0.250 0.154
8 Te 0.000 0.750 0.309

Computed properties:
total energy	-42.17	eV for the cell shown
symmetry	Pmma
total magnetic moment	0.000	μB per atom
E_form (uncorrected)	-1.35	eV/atom



# 2
A geometry-optimized La5Tm3Te8 structure, computed with GGA-PBE.

a = 8.896 Å, b = 8.896 Å, c = 9.021 Å
α = 60.46°, β = 60.46°, γ = 60.00°
Positions (direct):
1 Tm 0.000 0.500 0.500
2 Te 0.757 0.757 0.728
3 Te 0.750 0.235 0.265
4 Te 0.243 0.243 0.272
5 Te 0.750 0.750 0.265
6 La 0.500 0.500 0.500
7 Te 0.250 0.250 0.735
8 Tm 0.500 0.000 0.500
9 Te 0.765 0.250 0.735
10 La 0.500 0.500 0.000
11 Tm 0.000 0.000 0.500
12 La 0.000 0.500 0.000
13 La 0.000 0.000 0.000
14 La 0.500 0.000 0.000
15 Te 0.250 0.765 0.735
16 Te 0.235 0.750 0.265

Computed properties:
total energy	-86.11	eV for the cell shown
symmetry	R-3m
total magnetic moment	0.000	μB per atom
E_form (uncorrected)	-1.43	eV/atom



# 3
A geometry-optimized La2TmTe4 structure, computed with GGA-PBE.

a = 4.294 Å, b = 7.856 Å, c = 15.348 Å
α = 90.00°, β = 90.00°, γ = 105.86°
Positions (direct):
1 Tm 0.370 0.740 0.250
2 La 0.132 0.263 0.427
3 Tm 0.630 0.260 0.750
4 La 0.868 0.737 0.927
5 Te 0.784 0.568 0.373
6 La 0.868 0.737 0.573
7 Te 0.500 0.000 0.000
8 Te 0.984 0.967 0.750
9 Te 0.216 0.432 0.627
10 Te 0.016 0.033 0.250
11 Te 0.784 0.568 0.127
12 Te 0.216 0.432 0.873
13 La 0.132 0.263 0.073
14 Te 0.500 0.000 0.500

Computed properties:
total energy	-73.64	eV for the cell shown
symmetry	Cmcm
total magnetic moment	0.000	μB per atom
E_form (uncorrected)	-1.42	eV/atom



# 4
A geometry-optimized LaTm4Te6 structure, computed with GGA-PBE.

a = 4.306 Å, b = 7.394 Å, c = 22.063 Å
α = 90.00°, β = 90.00°, γ = 106.93°
Positions (direct):
1 Te 0.764 0.529 0.407
2 Te 0.236 0.471 0.593
3 Te 0.048 0.096 0.339
4 Tm 0.592 0.184 0.623
5 Tm 0.145 0.290 0.035
6 La 0.346 0.693 0.750
7 Tm 0.855 0.710 0.535
8 Te 0.500 0.000 0.500
9 Te 0.677 0.354 0.750
10 Tm 0.145 0.290 0.465
11 Tm 0.408 0.816 0.377
12 Te 0.952 0.904 0.661
13 Te 0.048 0.096 0.161
14 Tm 0.855 0.710 0.965
15 Tm 0.592 0.184 0.877
16 Te 0.952 0.904 0.839
17 Te 0.764 0.529 0.093
18 La 0.654 0.307 0.250
19 Tm 0.408 0.816 0.123
20 Te 0.323 0.646 0.250
21 Te 0.236 0.471 0.907
22 Te 0.500 0.000 0.000

Computed properties:
total energy	-112.98	eV for the cell shown
symmetry	Cmcm
total magnetic moment	0.000	μB per atom
E_form (uncorrected)	-1.35	eV/atom



# 5
A geometry-optimized LaTm5Te8 structure, computed with GGA-PBE.

a = 9.035 Å, b = 9.035 Å, c = 9.035 Å
α = 60.00°, β = 60.00°, γ = 60.00°
Positions (direct):
1 Tm 0.120 0.627 0.627
2 Te 0.388 0.388 0.388
3 Tm 0.000 0.000 0.000
4 Te 0.868 0.868 0.396
5 Tm 0.627 0.627 0.120
6 Tm 0.627 0.120 0.627
7 Te 0.396 0.868 0.868
8 Te 0.868 0.868 0.868
9 Te 0.868 0.396 0.868
10 Tm 0.627 0.627 0.627
11 La 0.250 0.250 0.250
12 Te 0.388 0.388 0.837
13 Te 0.388 0.837 0.388
14 Te 0.837 0.388 0.388

Computed properties:
total energy	-69.26	eV for the cell shown
symmetry	F-43m
total magnetic moment	0.000	μB per atom
E_form (uncorrected)	-1.20	eV/atom



# 6
A geometry-optimized La4TmTe7 structure, computed with GGA-PBE.

a = 4.421 Å, b = 7.773 Å, c = 13.375 Å
α = 104.51°, β = 90.00°, γ = 106.52°
Positions (direct):
1 Te 0.967 0.934 0.214
2 La 0.108 0.217 0.433
3 Tm 0.880 0.760 0.573
4 La 0.005 0.010 0.993
5 La 0.705 0.411 0.813
6 Te 0.343 0.686 0.955
7 Te 0.270 0.541 0.652
8 Te 0.471 0.942 0.481
9 Te 0.667 0.334 0.055
10 Te 0.736 0.472 0.358
11 La 0.309 0.618 0.205
12 Te 0.038 0.076 0.768

Computed properties:
total energy	-64.59	eV for the cell shown
symmetry	Cm
total magnetic moment	0.000	μB per atom
E_form (uncorrected)	-1.53	eV/atom



# 7
A geometry-optimized LaTmTe structure, computed with GGA-PBE.

a = 3.999 Å, b = 5.226 Å, c = 5.226 Å
α = 120.00°, β = 90.00°, γ = 90.00°
Last column: magnetic moment on the atom in μB.
Positions (direct):
1 La 0.661 0.667 0.333  0.13
2 Te 0.178 0.333 0.667  0.01
3 Tm 0.161 0.000 0.000  0.21

Computed properties:
total energy	-14.26	eV for the cell shown
symmetry	P3m1
total magnetic moment	0.198	μB per atom
E_form (uncorrected)	-0.57	eV/atom



# 8
A geometry-optimized LaTmTe2 structure, computed with GGA-PBE.

a = 3.872 Å, b = 5.412 Å, c = 5.412 Å
α = 90.00°, β = 90.00°, γ = 90.00°
Last column: magnetic moment on the atom in μB.
Positions (direct):
1 Tm 0.500 0.000 0.000  0.05
2 Te 0.000 0.000 0.500  0.00
3 La 0.500 0.500 0.500  0.02
4 Te 0.000 0.500 0.000  0.00

Computed properties:
total energy	-20.70	eV for the cell shown
symmetry	P4/mmm
total magnetic moment	0.028	μB per atom
E_form (uncorrected)	-1.25	eV/atom



# 9
A geometry-optimized LaTmTe2 structure, computed with GGA-PBE.

a = 4.374 Å, b = 4.374 Å, c = 7.887 Å
α = 73.90°, β = 73.90°, γ = 60.00°
Positions (direct):
1 La 0.500 0.500 0.500
2 Te 0.743 0.743 0.772
3 Te 0.257 0.257 0.228
4 Tm 0.000 0.000 0.000

Computed properties:
total energy	-21.26	eV for the cell shown
symmetry	R-3m
total magnetic moment	0.000	μB per atom
E_form (uncorrected)	-1.39	eV/atom



# 10
A geometry-optimized LaTmTe2 structure, computed with GGA-PBE.

a = 4.315 Å, b = 4.315 Å, c = 8.118 Å
α = 74.59°, β = 74.59°, γ = 60.00°
Positions (direct):
1 Te 0.257 0.257 0.229
2 La 0.497 0.497 0.510
3 Tm 0.670 0.670 0.989
4 Te 0.076 0.076 0.772

Computed properties:
total energy	-21.28	eV for the cell shown
symmetry	R3m
total magnetic moment	0.000	μB per atom
E_form (uncorrected)	-1.40	eV/atom



# 11
A geometry-optimized La2Tm2Te7 structure, computed with GGA-PBE.

a = 4.364 Å, b = 9.684 Å, c = 9.684 Å
α = 61.53°, β = 76.98°, γ = 76.98°
Positions (direct):
1 Te 0.500 0.999 0.001
2 Tm 0.000 0.769 0.231
3 Tm 0.500 0.326 0.674
4 Te 0.828 0.067 0.277
5 Te 0.172 0.723 0.933
6 La 0.742 0.855 0.661
7 Te 0.136 0.151 0.577
8 Te 0.395 0.707 0.504
9 La 0.258 0.339 0.145
10 Te 0.864 0.423 0.849
11 Te 0.605 0.496 0.293

Computed properties:
total energy	-54.79	eV for the cell shown
symmetry	Imm2
total magnetic moment	0.000	μB per atom
E_form (uncorrected)	-1.27	eV/atom



# 12
A geometry-optimized LaTmTe2 structure, computed with GGA-PBE.

a = 5.434 Å, b = 5.434 Å, c = 5.434 Å
α = 60.00°, β = 60.00°, γ = 60.00°
Last column: magnetic moment on the atom in μB.
Positions (direct):
1 Tm 0.500 0.500 0.500  0.28
2 Te 0.250 0.250 0.250  -0.01
3 La 0.000 0.000 0.000  0.17
4 Te 0.750 0.750 0.750  -0.01

Computed properties:
total energy	-20.60	eV for the cell shown
symmetry	Fm-3m
total magnetic moment	0.191	μB per atom
E_form (uncorrected)	-1.23	eV/atom